No. 1
Below is a relaxed TeRhAuN2 crystal, with properties calculated at the PBE level.

The formation energy (no corrections) is 4.98 eV per formula unit. The value obtained for the energy above the lowest structure with this stoichiometry is 0 meV per atom.

Cell lengths 3.8541, 3.8541, 5.9813 Å; angles 90.00, 90.00, 90.00 degrees
With the nearest neighbours (Å) after each atom.
Space group P4/mmm (No. 123)
Unique sites:
Te (0.0000, 0.0000, 0.0000) [1 per cell]  4 Au 2.73, 2 Rh 2.99
Rh (0.0000, 0.0000, 0.5000) [1 per cell]  4 N 1.93
Au (0.5000, 0.5000, 0.0000) [1 per cell]  4 Te 2.73
N (0.0000, 0.5000, 0.5000) [2 per cell]  2 Rh 1.93



No. 2
Below is a relaxed ScPaPt crystal, with properties calculated at the PBE level.

The value obtained for the energy above the lowest structure with this stoichiometry is 0 meV per atom.

Cell lengths 3.2919, 3.2919, 12.0779 Å; angles 90.00, 90.00, 90.00 degrees
With the nearest neighbours (Å) after each atom.
Space group I4mm (No. 107)
Unique sites:
Sc (0.0000, 0.0000, 0.0000) [2 per cell]  4 Pt 2.84
Pa (0.0000, 0.0000, 0.7056) [2 per cell]  4 Pt 3.02, 4 Pa 3.29
Pt (0.0000, 0.0000, 0.3655) [2 per cell]  4 Sc 2.84, 4 Pa 3.02



No. 3
Below is a relaxed Ca2ErGa crystal, with properties calculated at the PBE level.

Cell lengths 3.5822, 3.5822, 34.4485 Å; angles 90.00, 90.00, 120.00 degrees
With the nearest neighbours (Å) after each atom.
Space group R-3m (No. 166, hexagonal axes)
Unique sites:
Ca (0.0000, 0.0000, 0.0999) [6 per cell]  3 Ga 3.09, 1 Er 3.44
Er (0.0000, 0.0000, 0.0000) [3 per cell]  2 Ca 3.44, 6 Er 3.58
Ga (0.0000, 0.0000, 0.5000) [3 per cell]  6 Ca 3.09



No. 4
Below is a relaxed PaHgSb2 crystal, with properties calculated at the PBE level.

The formation energy (no corrections) is -1.38 eV per formula unit. The value obtained for the energy above the lowest structure with this stoichiometry is 0 meV per atom.

Cell lengths 4.9026, 4.9026, 4.1456 Å; angles 90.00, 90.00, 90.00 degrees
With the nearest neighbours (Å) after each atom.
Space group P4/mmm (No. 123)
Unique sites:
Pa (0.0000, 0.0000, 0.0000) [1 per cell]  8 Sb 3.21, 4 Hg 3.47
Hg (0.5000, 0.5000, 0.0000) [1 per cell]  8 Sb 3.21, 4 Pa 3.47
Sb (0.0000, 0.5000, 0.5000) [2 per cell]  4 Hg 3.21, 4 Pa 3.21, 4 Sb 3.47



No. 5
Below is a relaxed BeAgRu crystal, with properties calculated at the PBE level.

The value obtained for the energy above the lowest structure with this stoichiometry is 99 meV per atom.

Cell lengths 3.0447, 4.4199, 12.1172 Å; angles 90.00, 90.00, 90.00 degrees
With the nearest neighbours (Å) after each atom.
Space group Fmm2 (No. 42)
Unique sites:
Be (0.0000, 0.0000, 0.0000) [4 per cell]  2 Ru 2.25, 2 Ag 2.48
Ag (0.0000, 0.0000, 0.3388) [4 per cell]  2 Be 2.48, 4 Ag 2.68
Ru (0.0000, 0.0000, 0.6369) [4 per cell]  2 Be 2.25



No. 6
Below is a relaxed AlCu4Ni crystal, with properties calculated at the PBE level.

The value obtained for the energy above the lowest structure with this stoichiometry is 27 meV per atom.

Cell lengths 8.1751, 2.5830, 6.9509 Å; angles 90.00, 90.00, 90.00 degrees
With the nearest neighbours (Å) after each atom.
Space group Pmma (No. 51)
Unique sites:
Al (0.2500, 0.0000, 0.0378) [2 per cell]  1 Ni 2.42, 2 Al 2.58, 6 Cu 2.64-2.68
Cu (0.0000, 0.0000, 0.5000) [2 per cell]  2 Ni 2.43, 10 Cu 2.58-2.59
Cu (0.0123, 0.5000, 0.8234) [4 per cell]  6 Cu 2.46-2.59, 2 Ni 2.51, 2 Al 2.68
Cu (0.2500, 0.5000, 0.3690) [2 per cell]  8 Cu 2.53-2.58, 2 Ni 2.58, 2 Al 2.64
Ni (0.2500, 0.0000, 0.6901) [2 per cell]  1 Al 2.42, 8 Cu 2.43-2.58, 2 Ni 2.58



No. 7
Below is a relaxed Ba2In5Pd3 crystal, with properties calculated at the PBE level.

The value obtained for the energy above the lowest structure with this stoichiometry is 34 meV per atom.

Cell lengths 4.8170, 27.6773, 7.6296 Å; angles 90.00, 90.00, 90.00 degrees
With the nearest neighbours (Å) after each atom.
Space group Cmc2_1 (No. 36)
Unique sites:
Ba (0.0000, 0.0236, 0.0000) [4 per cell]  3 Pd 3.06-3.39
Ba (0.0000, 0.3239, 0.9354) [4 per cell]  4 Pd 3.34-3.58, 9 In 3.43-3.58
In (0.0000, 0.1010, 0.6288) [4 per cell]  3 Pd 2.81-2.88, 1 In 3.13
In (0.0000, 0.2053, 0.1219) [4 per cell]  4 Pd 2.83-2.94, 1 In 3.00
In (0.0000, 0.2107, 0.7296) [4 per cell]  3 Pd 2.86-2.90, 2 In 3.00-3.13
In (0.0000, 0.3719, 0.4703) [4 per cell]  2 Pd 2.79-2.89
In (0.0000, 0.4456, 0.8276) [4 per cell]  4 Pd 2.89-3.12
Pd (0.0000, 0.1095, 0.2527) [4 per cell]  4 In 2.83-2.91, 1 Ba 3.06
Pd (0.0000, 0.2719, 0.4214) [4 per cell]  7 In 2.79-2.94
Pd (0.0000, 0.4468, 0.2067) [4 per cell]  5 In 2.81-3.12



No. 8
Below is a relaxed ZnTc2Pt2 crystal, with properties calculated at the PBE level.

The value obtained for the energy above the lowest structure with this stoichiometry is 15 meV per atom.

Cell lengths 7.7724, 7.7724, 2.6946 Å; angles 90.00, 90.00, 90.00 degrees
With the nearest neighbours (Å) after each atom.
Space group P4/mbm (No. 127)
Unique sites:
Zn (0.0000, 0.0000, 0.0000) [2 per cell]  2 Zn 2.69
Tc (0.1763, 0.3237, 0.5000) [4 per cell]  6 Pt 2.60-2.71, 2 Tc 2.69
Pt (0.1218, 0.6218, 0.0000) [4 per cell]  6 Tc 2.60-2.71, 3 Pt 2.68-2.69



No. 9
Below is a relaxed Nb3HRu crystal, with properties calculated at the PBE level.

The value obtained for the energy above the lowest structure with this stoichiometry is 1629 meV per atom.

Cell lengths 4.8175, 4.8175, 4.8175 Å; angles 90.00, 90.00, 90.00 degrees
With the nearest neighbours (Å) after each atom.
Space group Pm-3m (No. 221)
Unique sites:
Nb (0.0000, 0.0000, 0.5000) [3 per cell]  2 Ru 2.41
H (0.5000, 0.5000, 0.5000) [1 per cell]  12 Nb 3.41
Ru (0.0000, 0.0000, 0.0000) [1 per cell]  6 Nb 2.41



No. 10
Below is a relaxed Tb6ErMg crystal, with properties calculated at the PBE level.

The value obtained for the energy above the lowest structure with this stoichiometry is 107 meV per atom.

Cell lengths 6.3425, 6.3438, 6.3485 Å; angles 95.79, 95.69, 95.83 degrees
With the nearest neighbours (Å) after each atom.
Space group P-1 (No. 2)
Unique sites:
Tb (0.0165, 0.2461, 0.4555) [2 per cell]  4 Tb 3.22-3.39, 1 Er 3.45, 2 Mg 3.53-3.58
Tb (0.2541, 0.0441, 0.9841) [2 per cell]  4 Tb 3.22-3.39, 1 Er 3.45, 2 Mg 3.54-3.58
Tb (0.4558, 0.5165, 0.7461) [2 per cell]  4 Tb 3.22-3.39, 1 Er 3.44, 2 Mg 3.53-3.58
Er (0.0000, 0.5000, 0.0000) [1 per cell]  12 Tb 3.44-3.68
Mg (0.5000, 0.0000, 0.5000) [1 per cell]  12 Tb 3.53-3.58



No. 11
Below is a relaxed Be3InBi crystal, with properties calculated at the PBE level.

The value obtained for the energy above the lowest structure with this stoichiometry is 205 meV per atom.

Cell lengths 4.9096, 4.9096, 4.9096 Å; angles 90.00, 90.00, 90.00 degrees
With the nearest neighbours (Å) after each atom.
Space group Pm-3m (No. 221)
Unique sites:
Be (0.0000, 0.0000, 0.5000) [3 per cell]  2 Bi 2.45
In (0.5000, 0.5000, 0.5000) [1 per cell]  12 Be 3.47
Bi (0.0000, 0.0000, 0.0000) [1 per cell]  6 Be 2.45



No. 12
Below is a relaxed ScZn7Cu5 crystal, with properties calculated at the PBE level.

Cell lengths 4.9578, 8.6906, 8.6090 Å; angles 90.00, 90.00, 90.00 degrees
With the nearest neighbours (Å) after each atom.
Space group Imm2 (No. 44)
Unique sites:
Sc (0.0000, 0.0000, 0.0000) [2 per cell]  10 Zn 2.91-3.15, 6 Cu 3.07-3.23
Zn (0.0000, 0.0000, 0.3477) [2 per cell]  4 Cu 2.62, 5 Zn 2.69-2.91
Zn (0.0000, 0.0000, 0.6619) [2 per cell]  6 Cu 2.63-2.71, 3 Zn 2.70-2.89, 1 Sc 2.91
Zn (0.0000, 0.2957, 0.5074) [4 per cell]  5 Cu 2.49-2.58, 3 Zn 2.58-2.76
Zn (0.0000, 0.3450, 0.0142) [4 per cell]  5 Cu 2.59-2.72, 4 Zn 2.69-2.83
Zn (0.0000, 0.5000, 0.7249) [2 per cell]  4 Cu 2.52, 4 Zn 2.58-2.69
Cu (0.0000, 0.5000, 0.2893) [2 per cell]  4 Cu 2.51, 6 Zn 2.58-2.72
Cu (0.2486, 0.2495, 0.7607) [8 per cell]  3 Cu 2.47-2.51, 7 Zn 2.49-2.64



One value per record, in order, for total DFT energy (no corrections): -5.088; -7.854; -2.825; -4.854; -5.016; -4.394; -3.813; -6.607; -6.924; -4.114; -2.244; -2.912 eV per atom.
One value per record, in order, for density of states at the Fermi level: 2.39; 6.10; 4.08; 2.20; 2.68; 3.00; 5.78; 5.89; 4.82; 11.48; 2.13; 6.58 states/eV/f.u..